1.
## SrYIn2Pd4 (GGA-PBE)

Data for SrYIn2Pd4 after structural relaxation.

Output
Its space group is P-6m2, No. 187. As for the crystal system: hexagonal.

Lattice parameters (Å, degrees): 4.643 4.643 9.278 90.00 90.00 120.00
Atoms (fractional coordinates):
1 Sr 0.000 0.000 0.000
2 Pd 0.333 0.667 0.190
3 Pd 0.000 0.000 0.656
4 Pd 0.333 0.667 0.810
5 Pd 0.000 0.000 0.344
6 In 0.667 0.333 0.263
7 In 0.667 0.333 0.737
8 Y 0.333 0.667 0.500



2.
## TaInPd2 (GGA-PBE)

Data for TaInPd2 after structural relaxation.

Output
Its space group is F-43m, No. 216. As for the crystal system: cubic.

Lattice parameters (Å, degrees): 4.588 4.588 4.588 60.00 60.00 60.00
Atoms (fractional coordinates):
1 Pd 0.000 0.000 0.000
2 Pd 0.750 0.750 0.750
3 In 0.500 0.500 0.500
4 Ta 0.250 0.250 0.250



DFT total energy values, unit eV for the cell shown, following the record order: -40.16, -25.36.